[1]
This record from Alexandria describes TcMoI3 after structural relaxation. The functional is PBE-GGA.

Cell and atoms, written as CIF:
```
data_TcMoI3
_chemical_formula_sum 'Tc1 Mo1 I3'
_cell_length_a 5.5189
_cell_length_b 5.5189
_cell_length_c 5.5189
_cell_angle_alpha 90.00
_cell_angle_beta 90.00
_cell_angle_gamma 90.00
_symmetry_space_group_name_H-M 'P m -3 m'
_symmetry_Int_Tables_number 221
_symmetry_space_group_name_Hall '-P 4 2 3'
loop_
_atom_site_label
_atom_site_fract_x
_atom_site_fract_y
_atom_site_fract_z
Tc1 0.0000 0.0000 0.0000
Mo1 0.5000 0.5000 0.5000
I1 0.0000 0.0000 0.5000
```

**Total magnetization**: 0.452 μB per atom
**E_form (uncorrected)**: 1.1454 eV per atom
**Relative energy among the computed polymorphs**: 0.000 eV/atom
**Calculated volume**: 33.6 A^3/atom

=====

[2]
This record from Alexandria describes MnAg2Pt after structural relaxation. The functional is PBE-GGA.

Cell and atoms, written as CIF:
```
data_MnAg2Pt
_chemical_formula_sum 'Mn1 Ag2 Pt1'
_cell_length_a 2.8759
_cell_length_b 2.8759
_cell_length_c 7.9740
_cell_angle_alpha 90.00
_cell_angle_beta 90.00
_cell_angle_gamma 90.00
_symmetry_space_group_name_H-M 'P 4/m m m'
_symmetry_Int_Tables_number 123
_symmetry_space_group_name_Hall '-P 4 2'
loop_
_atom_site_label
_atom_site_fract_x
_atom_site_fract_y
_atom_site_fract_z
Mn1 0.0000 0.0000 0.0000
Ag1 0.5000 0.5000 0.2443
Pt1 0.0000 0.0000 0.5000
```

**Total magnetization**: 1.020 μB per atom
**ΔH_f (0 K)**: 156 meV per atom
**Relative energy among the computed polymorphs**: 0.202 eV/atom
**Calculated volume**: 16.5 A^3/atom